A plane-wave DFT calculation with SCAN was carried out for ZnPbSe at its PBEsol-relaxed geometry.

Results
size of the total moment = 0.000 μB/atom
mass density = 7075 kg/m3
formation energy without anion corrections = 45 kJ/mol of formula units

a = 4.8867 Å, b = 4.8867 Å, c = 4.8867 Å
α = 60.00°, β = 60.00°, γ = 60.00°
Last column: nearest neighbours and their distance in Å.
Fractional coordinates of all 3 atoms:
Pb  0.5000  0.5000  0.5000  4 Se 2.99
Se  0.2500  0.2500  0.2500  4 Pb 2.99, 4 Zn 2.99
Zn  0.0000  0.0000  0.0000  4 Se 2.99

A plane-wave DFT calculation with SCAN was carried out for ZnPbSe2 at its PBEsol-relaxed geometry.

Results
size of the total moment = 0.000 μB/atom
mass density = 7717 kg/m3
formation energy without anion corrections = 8 kJ/mol of formula units

a = 4.0192 Å, b = 4.0192 Å, c = 6.4006 Å
α = 108.30°, β = 108.30°, γ = 90.00°
Last column: nearest neighbours and their distance in Å.
Fractional coordinates of all 4 atoms:
Pb  0.2500  0.7500  0.5000  4 Se 2.84
Se  0.0000  0.0000  0.0000  4 Zn 2.84
Se  0.7500  0.2500  0.5000  4 Pb 2.84
Zn  0.5000  0.5000  0.0000  4 Se 2.84

A plane-wave DFT calculation with SCAN was carried out for Zn2PbSe at its PBEsol-relaxed geometry.

Results
size of the total moment = 0.000 μB/atom
mass density = 8445 kg/m3
formation energy without anion corrections = 131 kJ/mol of formula units
energy relative to the lowest polymorph listed for this composition = 0.88 eV per formula unit

a = 4.8763 Å, b = 4.8763 Å, c = 4.8763 Å
α = 60.00°, β = 60.00°, γ = 60.00°
Last column: nearest neighbours and their distance in Å.
Fractional coordinates of all 4 atoms:
Pb  0.0000  0.0000  0.0000  8 Zn 2.99
Se  0.5000  0.5000  0.5000  8 Zn 2.99
Zn  0.2500  0.2500  0.2500  4 Se 2.99, 4 Pb 2.99
Zn  0.7500  0.7500  0.7500  4 Se 2.99, 4 Pb 2.99

A plane-wave DFT calculation with SCAN was carried out for Zn2PbSe at its PBEsol-relaxed geometry.

Results
size of the total moment = 0.000 μB/atom
mass density = 8253 kg/m3
formation energy without anion corrections = 74 kJ/mol of formula units
energy relative to the lowest polymorph listed for this composition = 0.29 eV per formula unit

a = 3.7654 Å, b = 5.1099 Å, c = 4.3605 Å
α = 90.00°, β = 90.00°, γ = 90.00°
Last column: nearest neighbours and their distance in Å.
Fractional coordinates of all 4 atoms:
Pb  0.5000  0.0000  0.5000  4 Zn 2.88, 4 Se 3.17
Se  0.0000  0.5000  0.5000  4 Zn 2.88, 4 Pb 3.17
Zn  0.0000  0.0000  0.0000  4 Pb 2.88, 4 Zn 3.17
Zn  0.5000  0.5000  0.0000  4 Se 2.88, 4 Zn 3.17